[1]
Cr3Mo5: relaxed, PBE-GGA.

Properties
SG	Cmmm, No. 65
offset from the most stable computed form	0.0	meV/atom
ΔE_f	0.057	eV per atom
calculated volume	14.35	A^3/atom
raw total energy	-10.321	eV/atom

Cell: 5.3014 5.3014 4.3305 Å, 90.00 90.00 70.65°
Last column: nearest neighbours and their distance in Å.
Positions (direct):
Cr1 0.5000 0.5000 0.0000  8 Mo 2.63-2.65
Cr2 0.2525 0.2525 0.5000  8 Mo 2.61-2.69
Cr3 0.7475 0.7475 0.5000  8 Mo 2.61-2.69
Mo1 0.0000 0.5000 0.0000  6 Cr 2.65, 2 Mo 2.65
Mo2 0.7442 0.2558 0.5000  6 Cr 2.61-2.69, 2 Mo 2.67
Mo3 0.0000 0.0000 0.0000  8 Mo 2.65-2.67
Mo4 0.5000 0.0000 0.0000  2 Mo 2.65, 6 Cr 2.65
Mo5 0.2558 0.7442 0.5000  6 Cr 2.61-2.69, 2 Mo 2.67

***

[2]
MgBrF3: relaxed, PBE-GGA.

Properties
SG	Pm-3m, No. 221
offset from the most stable computed form	0.0	meV/atom
calculated volume	13.58	A^3/atom
raw total energy	-3.740	eV/atom

Cell: 4.0795 4.0795 4.0795 Å, 90.00 90.00 90.00°
Last column: nearest neighbours and their distance in Å.
Positions (direct):
Br1 0.5000 0.5000 0.5000  12 F 2.88
Mg1 0.0000 0.0000 0.0000  6 F 2.04
F1 0.0000 0.0000 0.5000  2 Mg 2.04
F2 0.5000 0.0000 0.0000  2 Mg 2.04
F3 0.0000 0.5000 0.0000  2 Mg 2.04

***

no.,spin magnetization (μB/f.u.)
1,0.17
2,2.00